Record 1
{
  "formula": "Rb2LaCuSb",
  "functional": "PBE",
  "state": "optimized geometry",
  "spacegroup": "P4/mmm, No. 123",
  "dft_energy_ev_per_atom": -2.746,
  "raw_formation_energy_ev_per_atom": 0.27,
  "lattice": [[-6.660, 0.517, 1.676], [-1.451, -3.717, -4.620], [0.630, -5.439, 4.178]],
  "species": ["Rb", "Rb", "Cu", "Sb", "La"],
  "fractional_positions": [[0.500, 0.000, 0.000], [0.000, 0.000, 0.500], [0.500, 0.500, 0.500], [0.000, 0.000, 0.000], [0.000, 0.500, 0.000]]
}

=====

Record 2
{
  "formula": "PdW2C",
  "functional": "PBE",
  "state": "optimized geometry",
  "spacegroup": "R3m, No. 160",
  "ef_kcal_per_mol_atoms": 1.9,
  "dft_energy_ev_per_atom": -10.000,
  "lattice": [[3.002, 0.000, 0.000], [1.501, 2.600, 0.000], [1.501, 0.867, 6.908]],
  "species": ["W", "W", "C", "Pd"],
  "fractional_positions": [[0.275, 0.275, 0.176], [0.059, 0.059, 0.823], [0.666, 0.666, 0.002], [0.500, 0.500, 0.499]]
}

=====

no.,size of the total moment (μB per atom)
1,0.00
2,0.00